Compound: Tb2ZnSi
Source: Alexandria
Functional: PBE
Structure: relaxed

Geometry as POSCAR:
```
Tb2ZnSi
1.0
4.0497 0.0000 0.0000
0.0000 5.8282 -0.0591
0.0000 -2.9842 7.8969
Tb Si Zn
4 2 2
direct
0.2500 0.7873 0.5726
0.2500 0.7807 0.0691
0.7500 0.2193 0.9309
0.7500 0.2127 0.4274
0.2500 0.3505 0.7115
0.7500 0.6495 0.2885
0.7500 0.6356 0.7837
0.2500 0.3644 0.2163
```

Density: 7.4 g/cm3
Crystal system: monoclinic
Raw formation energy: -554 meV/atom
Energy: -4.5438 eV/atom
Symmetry: P2_1/m
M_tot: 0.0 μB per cell